[1]
Density functional theory data (PBE-GGA) for CeHo2Co2 after structural relaxation.

The structure belongs to space group C2/c (No. 15); the cell edges are 10.353, 5.987 and 6.994 Å and the angles 90.00°, 100.20° and 90.00°. The inequivalent atoms are Ce at (0.000, 0.081, 0.250), Ho at (0.154, 0.393, 0.650) and Co at (0.152, 0.151, 0.013).

The calculation puts the energy relative to the elements at -0.245 eV/atom. The value obtained for the density of states at the Fermi level is 22.83 states/eV per cell.



[2]
Density functional theory data (PBE-GGA) for CeHo3Co8 after structural relaxation.

The structure belongs to space group R3m (No. 160, hexagonal axes); the cell edges are 5.0450, 5.0450 and 24.7658 Å and the angles 90.00°, 90.00° and 120.00°. The inequivalent atoms are Ce at (0.0000, 0.0000, 0.0000), Ho at (0.0000, 0.0000, 0.3747), Ho at (0.0000, 0.0000, 0.4997), Ho at (0.0000, 0.0000, 0.8750), Co at (0.0000, 0.0000, 0.1872), Co at (0.0000, 0.0000, 0.6873), Co at (0.0020, 0.5010, 0.4380) and Co at (0.1671, 0.3342, 0.2701).

The calculation puts the energy relative to the elements at -0.215 eV/atom. The value obtained for the density of states at the Fermi level is 43.17 states/eV per cell.



[3]
Density functional theory data (PBE-GGA) for CeHo12Co6 after structural relaxation.

The structure belongs to space group Im-3 (No. 204); the cell edges are 9.711, 9.711 and 9.711 Å and the angles 90.00°, 90.00° and 90.00°. The inequivalent atoms are Ce at (0.000, 0.000, 0.000), Ho at (0.000, 0.308, 0.193) and Co at (0.000, 0.114, 0.500).

The calculation puts the energy relative to the elements at -0.126 eV/atom. The value obtained for the density of states at the Fermi level is 42.78 states/eV per cell.



[4]
Density functional theory data (PBE-GGA) for CeHo4Co4 after structural relaxation.

The structure belongs to space group P4_2/n (No. 86, origin choice 2); the cell edges are 8.127, 8.127 and 5.702 Å and the angles 90.00°, 90.00° and 90.00°. The inequivalent atoms are Ce at (0.250, 0.250, 0.250), Ho at (0.056, 0.678, 0.140) and Co at (0.005, 0.378, 0.376).

The calculation puts the energy relative to the elements at -0.168 eV/atom. The value obtained for the density of states at the Fermi level is 16.42 states/eV per cell.



[5]
Density functional theory data (PBE-GGA) for Ce3Ho2Co2 after structural relaxation.

The structure belongs to space group C2/m (No. 12); the cell edges are 11.244, 3.614 and 8.590 Å and the angles 90.00°, 110.48° and 90.00°. The inequivalent atoms are Ce at (0.000, 0.000, 0.000), Ce at (0.120, 0.000, 0.432), Ho at (0.168, 0.500, 0.802) and Co at (0.123, 0.500, 0.211).

The calculation puts the energy relative to the elements at -0.158 eV/atom. The value obtained for the density of states at the Fermi level is 22.05 states/eV per cell.



[6]
Density functional theory data (PBE-GGA) for CeHo3Co3 after structural relaxation.

The structure belongs to space group C2/m (No. 12); the cell edges are 12.321, 3.683 and 14.238 Å and the angles 90.00°, 114.18° and 90.00°. The inequivalent atoms are Ce at (0.162, 0.000, 0.390), Ho at (0.041, 0.500, 0.806), Ho at (0.126, 0.000, 0.636), Ho at (0.169, 0.500, 0.079), Co at (0.021, 0.000, 0.931), Co at (0.064, 0.500, 0.454) and Co at (0.167, 0.000, 0.237).

The calculation puts the energy relative to the elements at -0.202 eV/atom. The value obtained for the density of states at the Fermi level is 21.92 states/eV per cell.



[7]
Density functional theory data (PBE-GGA) for CeHoCo4 after structural relaxation.

The structure belongs to space group F-43m (No. 216); the cell edges are 7.094, 7.094 and 7.094 Å and the angles 90.00°, 90.00° and 90.00°. The inequivalent atoms are Ce at (0.000, 0.000, 0.000), Ho at (0.250, 0.250, 0.750) and Co at (0.125, 0.125, 0.375).

The calculation puts the energy relative to the elements at -0.204 eV/atom. The value obtained for the density of states at the Fermi level is 35.89 states/eV per cell.



[8]
Density functional theory data (PBE-GGA) for CeHoCoI after structural relaxation.

The structure belongs to space group R3m (No. 160, hexagonal axes); the cell edges are 3.9526, 3.9526 and 23.7676 Å and the angles 90.00°, 90.00° and 120.00°. The inequivalent atoms are Ce at (0.0000, 0.0000, 0.0000), Ho at (0.0000, 0.0000, 0.2148), Co at (0.0000, 0.0000, 0.6130) and I at (0.0000, 0.0000, 0.4433).

The calculation puts the formation energy (no corrections) at -585 meV per atom. The value obtained for the density of states at the Fermi level is 16.10 states/eV per cell.



[9]
Density functional theory data (PBE-GGA) for Ce2HoInCo after structural relaxation.

The structure belongs to space group P4/mmm (No. 123); the cell edges are 4.940, 4.940 and 5.457 Å and the angles 90.00°, 90.00° and 90.00°. The inequivalent atoms are Ce at (0.000, 0.500, 0.000), Ho at (0.000, 0.000, 0.500), In at (0.500, 0.500, 0.500) and Co at (0.000, 0.000, 0.000).

The calculation puts the energy relative to the elements at -0.282 eV/atom. The value obtained for the density of states at the Fermi level is 7.77 states/eV per cell.



[10]
Density functional theory data (PBE-GGA) for LiCeHoCo after structural relaxation.

The structure belongs to space group F-43m (No. 216); the cell edges are 6.888, 6.888 and 6.888 Å and the angles 90.00°, 90.00° and 90.00°. The inequivalent atoms are Li at (0.000, 0.000, 0.000), Ce at (0.250, 0.250, 0.250), Ho at (0.250, 0.250, 0.750) and Co at (0.000, 0.000, 0.500).

The calculation puts the energy relative to the elements at 0.014 eV/atom. The value obtained for the density of states at the Fermi level is 22.93 states/eV per cell.



[11]
Density functional theory data (PBE-GGA) for CeHo2CoN4 after structural relaxation.

The structure belongs to space group Cmcm (No. 63); the cell edges are 3.361, 11.264 and 11.460 Å and the angles 90.00°, 90.00° and 90.00°. The inequivalent atoms are Ce at (0.000, 0.108, 0.250), Ho at (0.000, 0.369, 0.050), Co at (0.000, 0.155, 0.750), N at (0.000, 0.000, 0.000), N at (0.000, 0.273, 0.630) and N at (0.000, 0.438, 0.250).

The calculation puts the formation energy (no corrections) at -1159 meV per atom. The value obtained for the density of states at the Fermi level is 19.06 states/eV per cell.



[12]
Density functional theory data (PBE-GGA) for CeNd2HoCo2 after structural relaxation.

The structure belongs to space group Ibam (No. 72); the cell edges are 6.816, 12.883 and 6.718 Å and the angles 90.00°, 90.00° and 90.00°. The inequivalent atoms are Ce at (0.000, 0.000, 0.250), Nd at (0.217, 0.199, 0.000), Ho at (0.000, 0.500, 0.250) and Co at (0.217, 0.092, 0.500).

The calculation puts the energy relative to the elements at -0.116 eV/atom. The value obtained for the density of states at the Fermi level is 26.76 states/eV per cell.